The following is a PBE-GGA calculation of an optimized crystal structure of CsSmAs2Pt4, from the Alexandria database.

It has space group P4/mmm (No. 123), with a = 4.078 Å, b = 4.078 Å, c = 11.843 Å, α = 90.00°, β = 90.00° and γ = 90.00°. The asymmetric unit holds Cs at (0.000, 0.000, 0.000), Sm at (0.000, 0.000, 0.500), As at (0.500, 0.500, 0.197) and Pt at (0.000, 0.500, 0.315).

Its calculated formation energy is -0.634 eV/atom. As for the density of states at the Fermi level: 0.676 states/eV per atom. Its theoretical density is 10.23 g/cm3. The uncorrected energy comes out at -5.51 eV per atom.